#1
Material: Pm2HoSn2
Method: DFT, PBE-GGA
State: relaxed

POSCAR file:
```
Pm2HoSn2
1.0
2.532 -9.176 0.000
2.532 9.176 0.000
0.000 0.000 6.548
Pm Ho Sn
4 2 4
Direct
0.000 0.000 0.000 Pm
0.000 0.000 0.500 Pm
0.193 0.807 0.752 Pm
0.807 0.193 0.252 Pm
0.397 0.603 0.749 Ho
0.603 0.397 0.249 Ho
0.189 0.811 0.252 Sn
0.424 0.576 0.250 Sn
0.576 0.424 0.750 Sn
0.811 0.189 0.752 Sn
```

=====

#2
Material: Pm2HoSn2
Method: DFT, PBE-GGA
State: relaxed

POSCAR file:
```
Pm2HoSn2
1.0
8.121 0.000 0.000
0.000 8.121 0.000
0.000 0.000 4.517
Pm Ho Sn
4 2 4
Direct
0.171 0.329 0.000 Pm
0.329 0.829 0.000 Pm
0.671 0.171 0.000 Pm
0.829 0.671 0.000 Pm
0.000 0.000 0.500 Ho
0.500 0.500 0.500 Ho
0.131 0.631 0.500 Sn
0.369 0.131 0.500 Sn
0.631 0.869 0.500 Sn
0.869 0.369 0.500 Sn
```

=====

Most stable structure among those shown: #2.